Computed, not measured: a geometry-optimized NaZrV2O structure at the PBE+U level of DFT.

a b c (Å): 4.2304 4.2304 4.7147
angles (deg): 90.00 90.00 90.00
Last column: nearest neighbours and their distance in Å.
Positions (direct):
Na 0.0000 0.0000 0.0000  2 O 2.36
Zr 0.5000 0.5000 0.0000  4 Na 2.99, 8 V 3.17
V 0.0000 0.5000 0.5000  2 O 2.12
V 0.5000 0.0000 0.5000  2 O 2.12
O 0.0000 0.0000 0.5000  4 V 2.12, 2 Na 2.36

## Properties
space group	P4/mmm
calculated density	4.57	g/cm3
volume	16.87	Å³/atom
final energy	-5.651	eV/atom
density of states at the Fermi level	1.29	states/eV per atom